# Tb9Pr11Sm4

Crystalline Tb9Pr11Sm4 at its relaxed geometry (PBE, Alexandria via LeMat-Bulk). Values from VASP.

```
&SYSTEM
  ibrav = 0, nat = 24, ntyp = 3
/
ATOMIC_SPECIES
Pr 140.91 Pr.upf
Sm 150.36 Sm.upf
Tb 158.93 Tb.upf
CELL_PARAMETERS angstrom
-3.3844 1.3961 0.6454
-2.7377 0.4441 -15.3160
-4.2946 -13.4449 6.5624
ATOMIC_POSITIONS crystal
Pr 0.0000 0.1599 0.8401
Pr 0.0000 0.5950 0.9571
Pr 0.0000 0.0000 0.0000
Pr 0.0000 0.6323 0.3677
Pr 0.0000 0.3677 0.6323
Pr 0.0000 0.8401 0.1599
Pr 0.0000 0.9571 0.5950
Pr 0.0000 0.4050 0.0429
Pr 0.0000 0.2912 0.2912
Pr 0.0000 0.7088 0.7088
Pr 0.0000 0.0429 0.4050
Sm 0.5000 0.7583 0.5553
Sm 0.5000 0.4447 0.2417
Sm 0.5000 0.2417 0.4447
Sm 0.5000 0.5553 0.7583
Tb 0.5000 0.1647 0.6323
Tb 0.5000 0.0663 0.2119
Tb 0.5000 0.9337 0.7881
Tb 0.5000 0.3677 0.8353
Tb 0.5000 0.2119 0.0663
Tb 0.5000 0.6323 0.1647
Tb 0.5000 0.8353 0.3677
Tb 0.5000 0.7881 0.9337
Tb 0.5000 0.5000 0.5000
```

## Properties
E_form ... 1.394 kcal/mol of atoms
Size of the total moment ... 0.000 μB/atom
Calculated total energy ... -111.673 eV for the cell shown